# 1
Density functional theory data (PBE) for an optimized crystal structure of PmYNi2As2.

Summary:
SG = No. 164
Energy of formation from the pure elements = -1.055 eV/atom

Cell: 4.077 4.077 7.914 Å, 90.00 90.00 120.00°
Fractional coordinates of all 6 atoms:
As (0.333, 0.667, 0.257)
As (0.667, 0.333, 0.743)
Ni (0.333, 0.667, 0.745)
Ni (0.667, 0.333, 0.255)
Y (0.000, 0.000, 0.500)
Pm (0.000, 0.000, 0.000)


# 2
Density functional theory data (PBE) for an optimized crystal structure of Pm2ZnNi4As3.

Summary:
SG = No. 115
Energy of formation from the pure elements = -0.773 eV/atom

Cell: 4.106 4.106 9.760 Å, 90.00 90.00 90.00°
Fractional coordinates of all 10 atoms:
As (0.500, 0.000, 0.868)
As (0.000, 0.000, 0.500)
As (0.000, 0.500, 0.132)
Pm (0.000, 0.500, 0.755)
Pm (0.500, 0.000, 0.245)
Zn (0.500, 0.500, 0.500)
Ni (0.500, 0.000, 0.628)
Ni (0.000, 0.000, 0.000)
Ni (0.000, 0.500, 0.372)
Ni (0.500, 0.500, 0.000)


# 3
Density functional theory data (PBE) for an optimized crystal structure of PmZrNi2As2.

Summary:
SG = No. 164
Energy of formation from the pure elements = -0.955 eV/atom

Cell: 4.009 4.009 7.700 Å, 90.00 90.00 120.00°
Fractional coordinates of all 6 atoms:
Pm (0.000, 0.000, 0.000)
As (0.333, 0.667, 0.261)
As (0.667, 0.333, 0.739)
Zr (0.000, 0.000, 0.500)
Ni (0.333, 0.667, 0.716)
Ni (0.667, 0.333, 0.284)


# 4
Density functional theory data (PBE) for an optimized crystal structure of PrNi12As6.

Summary:
SG = No. 166
Energy of formation from the pure elements = -0.264 eV/atom

Cell: 6.721 6.721 6.721 Å, 104.34 104.34 104.34°
Fractional coordinates of all 19 atoms:
As (0.246, 0.688, 0.246)
As (0.688, 0.246, 0.246)
As (0.312, 0.754, 0.754)
As (0.246, 0.246, 0.688)
As (0.754, 0.312, 0.754)
As (0.754, 0.754, 0.312)
Ni (0.500, 0.124, 0.876)
Ni (0.876, 0.124, 0.500)
Ni (0.565, 0.565, 0.829)
Ni (0.435, 0.171, 0.435)
Ni (0.876, 0.500, 0.124)
Ni (0.500, 0.876, 0.124)
Ni (0.124, 0.500, 0.876)
Ni (0.124, 0.876, 0.500)
Ni (0.829, 0.565, 0.565)
Ni (0.435, 0.435, 0.171)
Ni (0.171, 0.435, 0.435)
Ni (0.565, 0.829, 0.565)
Pr (0.000, 0.000, 0.000)


# 5
Density functional theory data (PBE) for an optimized crystal structure of Pr3Ni2As4.

Summary:
SG = No. 12
Energy of formation from the pure elements = -0.978 eV/atom

Cell: 4.242 6.085 8.685 Å, 111.19 90.00 110.40°
Fractional coordinates of all 9 atoms:
Pr (0.630, 0.260, 0.706)
Pr (0.370, 0.740, 0.294)
Pr (0.000, 0.000, 0.000)
As (0.697, 0.394, 0.110)
As (0.096, 0.192, 0.401)
As (0.904, 0.808, 0.599)
As (0.303, 0.606, 0.890)
Ni (0.311, 0.622, 0.613)
Ni (0.689, 0.378, 0.387)


# 6
Density functional theory data (PBE) for an optimized crystal structure of PrNi4As3.

Summary:
SG = No. 123
Energy of formation from the pure elements = -0.560 eV/atom

Cell: 4.057 4.057 7.696 Å, 90.00 90.00 90.00°
Fractional coordinates of all 8 atoms:
Pr (0.000, 0.000, 0.500)
Ni (0.500, 0.000, 0.830)
Ni (0.500, 0.000, 0.170)
Ni (0.000, 0.500, 0.830)
Ni (0.000, 0.500, 0.170)
As (0.500, 0.500, 0.674)
As (0.500, 0.500, 0.326)
As (0.000, 0.000, 0.000)


# 7
Density functional theory data (PBE) for an optimized crystal structure of PrNi4As2.

Summary:
SG = No. 136
Energy of formation from the pure elements = -0.580 eV/atom

Cell: 3.798 7.411 7.411 Å, 90.00 90.00 90.00°
Fractional coordinates of all 14 atoms:
Ni (0.500, 0.587, 0.152)
Ni (0.000, 0.348, 0.087)
Ni (0.000, 0.913, 0.652)
Ni (0.500, 0.413, 0.848)
Ni (0.500, 0.152, 0.587)
Ni (0.000, 0.652, 0.913)
Ni (0.000, 0.087, 0.348)
Ni (0.500, 0.848, 0.413)
As (0.500, 0.720, 0.720)
As (0.000, 0.220, 0.780)
As (0.500, 0.280, 0.280)
As (0.000, 0.780, 0.220)
Pr (0.000, 0.500, 0.500)
Pr (0.500, 0.000, 0.000)


# 8
Density functional theory data (PBE) for an optimized crystal structure of PrNi2As2.

Summary:
SG = No. 129
Energy of formation from the pure elements = -0.829 eV/atom

Cell: 4.232 4.232 9.508 Å, 90.00 90.00 90.00°
Fractional coordinates of all 10 atoms:
As (0.750, 0.250, 0.000)
As (0.250, 0.250, 0.629)
As (0.750, 0.750, 0.371)
As (0.250, 0.750, 0.000)
Pr (0.250, 0.250, 0.252)
Pr (0.750, 0.750, 0.748)
Ni (0.250, 0.250, 0.882)
Ni (0.750, 0.750, 0.118)
Ni (0.750, 0.250, 0.500)
Ni (0.250, 0.750, 0.500)


# 9
Density functional theory data (PBE) for an optimized crystal structure of PrNiAs3.

Summary:
SG = No. 57
Energy of formation from the pure elements = -0.669 eV/atom

Cell: 5.674 5.672 12.337 Å, 90.00 90.00 90.00°
Fractional coordinates of all 20 atoms:
As (0.250, 0.996, 0.206)
As (0.500, 0.750, 0.501)
As (0.750, 0.387, 0.942)
As (0.000, 0.750, 0.501)
As (0.500, 0.250, 0.499)
As (0.750, 0.504, 0.206)
As (0.250, 0.113, 0.942)
As (0.000, 0.250, 0.499)
As (0.750, 0.887, 0.058)
As (0.250, 0.613, 0.058)
As (0.750, 0.004, 0.794)
As (0.250, 0.496, 0.794)
Ni (0.500, 0.250, 0.086)
Ni (0.000, 0.750, 0.914)
Ni (0.500, 0.750, 0.914)
Ni (0.000, 0.250, 0.086)
Pr (0.250, 0.500, 0.306)
Pr (0.250, 0.000, 0.694)
Pr (0.750, 0.500, 0.694)
Pr (0.750, 0.000, 0.306)


# 10
Density functional theory data (PBE) for an optimized crystal structure of PrNi6As4.

Summary:
SG = No. 187
Energy of formation from the pure elements = -0.459 eV/atom

Cell: 3.854 6.888 6.888 Å, 120.00 90.00 90.00°
Fractional coordinates of all 11 atoms:
Pr (0.000, 0.000, 0.000)
Ni (0.500, 0.206, 0.412)
Ni (0.500, 0.206, 0.794)
Ni (0.000, 0.538, 0.462)
Ni (0.000, 0.538, 0.077)
Ni (0.500, 0.588, 0.794)
Ni (0.000, 0.923, 0.462)
As (0.500, 0.382, 0.191)
As (0.500, 0.809, 0.191)
As (0.500, 0.809, 0.618)
As (0.000, 0.333, 0.667)


# 11
Density functional theory data (PBE) for an optimized crystal structure of Pr2Ni3As3.

Summary:
SG = No. 2
Energy of formation from the pure elements = -0.626 eV/atom

Cell: 6.083 4.054 20.571 Å, 90.11 151.87 109.39°
Fractional coordinates of all 8 atoms:
Pr (0.474, 0.487, 0.722)
Pr (0.526, 0.513, 0.278)
As (0.850, 0.175, 0.241)
As (0.500, 0.500, 0.000)
As (0.150, 0.825, 0.759)
Ni (0.363, 0.431, 0.077)
Ni (0.637, 0.569, 0.923)
Ni (0.500, 0.500, 0.500)


# 12
Density functional theory data (PBE) for an optimized crystal structure of PrNi3As3.

Summary:
SG = No. 148
Energy of formation from the pure elements = -0.531 eV/atom

Cell: 6.782 6.782 7.857 Å, 64.43 64.43 60.00°
Fractional coordinates of all 14 atoms:
Pr (0.667, 0.667, 0.998)
Pr (0.333, 0.333, 0.002)
As (0.905, 0.224, 0.281)
As (0.590, 0.905, 0.281)
As (0.095, 0.776, 0.719)
As (0.224, 0.590, 0.281)
As (0.410, 0.095, 0.719)
As (0.776, 0.410, 0.719)
Ni (0.785, 0.126, 0.621)
Ni (0.469, 0.785, 0.621)
Ni (0.215, 0.874, 0.379)
Ni (0.531, 0.215, 0.379)
Ni (0.874, 0.531, 0.379)
Ni (0.126, 0.469, 0.621)


# 13
Density functional theory data (PBE) for an optimized crystal structure of Pr2Ni12As7.

Summary:
SG = No. 174
Energy of formation from the pure elements = -0.527 eV/atom

Cell: 9.416 9.416 3.921 Å, 90.00 90.00 120.00°
Fractional coordinates of all 21 atoms:
Ni (0.770, 0.723, 0.000)
Ni (0.382, 0.293, 0.500)
Ni (0.707, 0.089, 0.500)
Ni (0.224, 0.463, 0.500)
Ni (0.056, 0.536, 0.000)
Ni (0.954, 0.230, 0.000)
Ni (0.464, 0.519, 0.000)
Ni (0.481, 0.944, 0.000)
Ni (0.537, 0.761, 0.500)
Ni (0.911, 0.618, 0.500)
Ni (0.277, 0.046, 0.000)
Ni (0.239, 0.776, 0.500)
As (0.434, 0.067, 0.500)
As (0.733, 0.956, 0.000)
As (0.044, 0.777, 0.000)
As (0.223, 0.267, 0.000)
As (0.333, 0.667, 0.000)
As (0.633, 0.566, 0.500)
As (0.933, 0.367, 0.500)
Pr (0.000, 0.000, 0.500)
Pr (0.667, 0.333, 0.000)


# 14
Density functional theory data (PBE) for an optimized crystal structure of Pr3Ni2As3.

Summary:
SG = No. 63
Energy of formation from the pure elements = -0.992 eV/atom

Cell: 4.190 5.925 14.553 Å, 90.00 90.00 110.71°
Site moments in Bohr magnetons follow the coordinates.
Fractional coordinates of all 16 atoms:
As (0.640, 0.279, 0.046)  -0.01
As (0.360, 0.721, 0.954)  -0.01
As (0.343, 0.686, 0.250)  0.00
As (0.657, 0.314, 0.750)  0.00
As (0.360, 0.721, 0.546)  -0.01
As (0.640, 0.279, 0.454)  -0.01
Pr (0.923, 0.847, 0.393)  0.04
Pr (0.077, 0.153, 0.893)  0.04
Pr (0.923, 0.847, 0.107)  0.04
Pr (0.641, 0.281, 0.250)  0.09
Pr (0.359, 0.719, 0.750)  0.09
Pr (0.077, 0.153, 0.607)  0.04
Ni (0.225, 0.450, 0.097)  0.01
Ni (0.775, 0.550, 0.597)  0.01
Ni (0.775, 0.550, 0.903)  0.01
Ni (0.225, 0.450, 0.403)  0.01


# 15
Density functional theory data (PBE) for an optimized crystal structure of PrNi3As3.

Summary:
SG = No. 223
Energy of formation from the pure elements = -0.446 eV/atom

Cell: 6.434 6.434 6.434 Å, 90.00 90.00 90.00°
Fractional coordinates of all 14 atoms:
As (0.500, 0.000, 0.750)
As (0.750, 0.500, 0.000)
As (0.250, 0.500, 0.000)
As (0.000, 0.250, 0.500)
As (0.500, 0.000, 0.250)
As (0.000, 0.750, 0.500)
Pr (0.000, 0.000, 0.000)
Pr (0.500, 0.500, 0.500)
Ni (0.750, 0.000, 0.500)
Ni (0.500, 0.250, 0.000)
Ni (0.000, 0.500, 0.750)
Ni (0.500, 0.750, 0.000)
Ni (0.250, 0.000, 0.500)
Ni (0.000, 0.500, 0.250)


# 16
Density functional theory data (PBE) for an optimized crystal structure of PrNi5As2.

Summary:
SG = No. 71
Energy of formation from the pure elements = -0.474 eV/atom

Cell: 3.861 6.002 6.002 Å, 66.91 71.24 71.24°
Fractional coordinates of all 8 atoms:
Ni (0.643, 0.172, 0.542)
Ni (0.357, 0.458, 0.828)
Ni (0.643, 0.542, 0.172)
Ni (0.000, 0.500, 0.500)
Ni (0.357, 0.828, 0.458)
As (0.246, 0.254, 0.254)
As (0.754, 0.746, 0.746)
Pr (0.000, 0.000, 0.000)


# 17
Density functional theory data (PBE) for an optimized crystal structure of PrNi2AsPt2.

Summary:
SG = No. 123
Energy of formation from the pure elements = -0.339 eV/atom

Cell: 4.418 4.418 5.645 Å, 90.00 90.00 90.00°
Fractional coordinates of all 6 atoms:
Pr (0.000, 0.000, 0.500)
Pt (0.500, 0.500, 0.739)
Pt (0.500, 0.500, 0.261)
Ni (0.500, 0.000, 0.000)
Ni (0.000, 0.500, 0.000)
As (0.000, 0.000, 0.000)


# 18
Density functional theory data (PBE) for an optimized crystal structure of Pr2Ni3As4Pt.

Summary:
SG = No. 115
Energy of formation from the pure elements = -0.840 eV/atom

Cell: 4.296 4.296 9.613 Å, 90.00 90.00 90.00°
Fractional coordinates of all 10 atoms:
Ni (0.000, 0.000, 0.500)
Ni (0.000, 0.500, 0.114)
Ni (0.500, 0.000, 0.886)
As (0.500, 0.000, 0.638)
As (0.000, 0.500, 0.362)
As (0.500, 0.500, 0.000)
As (0.000, 0.000, 0.000)
Pt (0.500, 0.500, 0.500)
Pr (0.000, 0.500, 0.753)
Pr (0.500, 0.000, 0.247)


# 19
Density functional theory data (PBE) for an optimized crystal structure of Pr2Ni4As3Rh.

Summary:
SG = No. 115
Energy of formation from the pure elements = -0.703 eV/atom

Cell: 4.113 4.113 9.957 Å, 90.00 90.00 90.00°
Fractional coordinates of all 10 atoms:
As (0.000, 0.000, 0.500)
As (0.000, 0.500, 0.126)
As (0.500, 0.000, 0.874)
Ni (0.000, 0.000, 0.000)
Ni (0.500, 0.000, 0.637)
Ni (0.500, 0.500, 0.000)
Ni (0.000, 0.500, 0.363)
Rh (0.500, 0.500, 0.500)
Pr (0.000, 0.500, 0.750)
Pr (0.500, 0.000, 0.250)


# 20
Density functional theory data (PBE) for an optimized crystal structure of Pr2Ni3As4Rh.

Summary:
SG = No. 115
Energy of formation from the pure elements = -0.846 eV/atom

Cell: 4.258 4.258 9.636 Å, 90.00 90.00 90.00°
Fractional coordinates of all 10 atoms:
Ni (0.000, 0.500, 0.116)
Ni (0.500, 0.000, 0.884)
Ni (0.000, 0.000, 0.500)
Pr (0.000, 0.500, 0.753)
Pr (0.500, 0.000, 0.247)
Rh (0.500, 0.500, 0.500)
As (0.000, 0.500, 0.364)
As (0.000, 0.000, 0.000)
As (0.500, 0.000, 0.636)
As (0.500, 0.500, 0.000)


# 21
Density functional theory data (PBE) for an optimized crystal structure of PrNiAs2Rh5.

Summary:
SG = No. 123
Energy of formation from the pure elements = -0.064 eV/atom

Cell: 4.081 4.081 11.455 Å, 90.00 90.00 90.00°
Site moments in Bohr magnetons follow the coordinates.
Fractional coordinates of all 9 atoms:
Pr (0.500, 0.500, 0.500)  0.00
As (0.000, 0.000, 0.197)  0.01
As (0.000, 0.000, 0.803)  0.01
Rh (0.000, 0.500, 0.690)  0.03
Rh (0.500, 0.000, 0.690)  0.03
Rh (0.000, 0.000, 0.500)  0.08
Rh (0.500, 0.000, 0.310)  0.03
Rh (0.000, 0.500, 0.310)  0.03
Ni (0.000, 0.000, 0.000)  0.64